No. 1
This record from Alexandria describes crystalline PmTlNiPd at its relaxed geometry. The functional is PBE.

```
PmTlNiPd
1.0
-2.133 -1.202 4.166
0.651 -4.410 1.863
2.654 -0.566 3.998
Pd Tl Ni Pm
1 1 1 1
Direct
0.750 0.750 0.750
0.500 0.500 0.500
0.250 0.250 0.250
0.000 0.000 0.000
```

## Properties
* raw total energy: -4.87 eV per atom
* mass density: 10.7 g/cm3
* DFT formation energy: -133 kJ/mol of formula units
* symmetry: No. 216


No. 2
This record from Alexandria describes crystalline ZrCrMo2 at its relaxed geometry. The functional is PBE.

```
ZrCrMo2
1.0
-1.614 0.662 2.190
0.913 -2.639 0.204
7.139 2.809 4.413
Zr Cr Mo
1 1 2
Direct
0.000 0.000 0.512
0.500 0.500 0.767
0.500 0.500 0.233
0.000 0.000 0.987
```

## Properties
* raw total energy: -9.80 eV per atom
* mass density: 8.6 g/cm3
* polymorph energy (0 for the lowest one): 91 meV per atom
* DFT formation energy: 61 kJ/mol of formula units
* symmetry: No. 35


No. 3
This record from Alexandria describes crystalline Rb3V2Se4 at its relaxed geometry. The functional is PBE.

```
Rb3V2Se4
1.0
-5.156 -4.632 1.975
1.582 -4.173 -8.133
6.908 -6.024 1.431
Se V Rb
8 4 6
Direct
0.112 0.621 0.737
0.525 0.321 0.934
0.025 0.934 0.321
0.475 0.679 0.066
0.975 0.066 0.679
0.388 0.263 0.379
0.888 0.379 0.263
0.612 0.737 0.621
0.564 0.412 0.164
0.936 0.836 0.588
0.064 0.164 0.412
0.436 0.588 0.836
0.955 0.742 0.016
0.045 0.258 0.984
0.250 0.593 0.407
0.545 0.984 0.258
0.455 0.016 0.742
0.750 0.407 0.593
```

## Properties
* raw total energy: -4.80 eV per atom
* mass density: 3.8 g/cm3
* formation energy without anion corrections: -0.900 eV per atom
* symmetry: No. 15


No. 4
This record from Alexandria describes crystalline HgB3Sb at its relaxed geometry. The functional is PBE.

```
HgB3Sb
1.0
-1.121 -3.695 -2.192
4.237 -0.575 -1.198
0.713 -2.394 3.671
B Sb Hg
3 1 1
Direct
0.000 0.500 0.000
0.500 0.000 0.000
0.000 0.000 0.500
0.500 0.500 0.500
0.000 0.000 0.000
```

## Properties
* raw total energy: -2.74 eV per atom
* mass density: 6.7 g/cm3
* formation energy without anion corrections: 2.155 eV per atom
* polymorph energy (0 for the lowest one): 81 meV per atom
* symmetry: No. 221


Q: Which value of raw total energy does entry 3 give?
A: -4.80 eV per atom


Q: Which value of raw total energy does entry 4 give?
A: -2.74 eV per atom


Q: What is the formula in the second record?
A: ZrCrMo2


Q: raw total energy of number 3 (Rb3V2Se4)?
A: -4.80 eV per atom